[1]
{
  "formula": "LiU2PdS6",
  "functional": "PBE",
  "state": "optimized geometry",
  "lattice": [[5.584, 0.000, 0.000], [0.000, 5.584, 0.000], [0.000, 0.000, 6.694]],
  "species": ["Li", "U", "U", "Pd", "S", "S", "S", "S", "S", "S"],
  "fractional_positions": [[0.000, 0.000, 0.000], [0.000, 0.500, 0.502], [0.500, 0.000, 0.502], [0.500, 0.500, 0.995], [0.000, 0.000, 0.645], [0.249, 0.249, 0.225], [0.249, 0.751, 0.225], [0.500, 0.500, 0.641], [0.751, 0.249, 0.225], [0.751, 0.751, 0.225]],
  "dos_ef_per_ev_atom": 1.1513,
  "e_tot_ev_per_atom": -6.260,
  "spacegroup": "P4mm (99)"
}

=====

[2]
{
  "formula": "Li2U2PdS6",
  "functional": "PBE",
  "state": "optimized geometry",
  "lattice": [[3.221, -5.863, 0.000], [3.221, 5.863, 0.000], [-1.945, 0.000, 6.161]],
  "species": ["Li", "Li", "U", "U", "Pd", "S", "S", "S", "S", "S", "S"],
  "fractional_positions": [[0.160, 0.840, 0.000], [0.840, 0.160, 0.000], [0.340, 0.660, 0.500], [0.660, 0.340, 0.500], [0.000, 0.000, 0.500], [0.068, 0.432, 0.747], [0.246, 0.246, 0.262], [0.432, 0.068, 0.747], [0.568, 0.932, 0.253], [0.754, 0.754, 0.738], [0.932, 0.568, 0.253]],
  "dos_ef_per_ev_atom": 1.2249,
  "e_tot_ev_per_atom": -6.266,
  "spacegroup": "C2/m (12)"
}